# CdPdNO, optimized geometry, DFT GGA-PBE
data_CdPdNO
_cell_length_a 3.995
_cell_length_b 3.995
_cell_length_c 7.089
_cell_angle_alpha 90.00
_cell_angle_beta 90.00
_cell_angle_gamma 90.00
_symmetry_space_group_name_H-M 'P 4/n m m'
_symmetry_Int_Tables_number 129
loop_
_symmetry_equiv_pos_as_xyz
'x,y,z'
'-x,-y,-z'
'-y+1/2,x,z'
'y+1/2,-x,-z'
'-x+1/2,-y+1/2,z'
'x+1/2,y+1/2,-z'
'y,-x+1/2,z'
'-y,x+1/2,-z'
'x+1/2,-y,-z'
'-x+1/2,y,z'
'-y,-x,-z'
'y,x,z'
'-x,y+1/2,-z'
'x,-y+1/2,z'
'y+1/2,x+1/2,-z'
'-y+1/2,-x+1/2,z'
loop_
_atom_site_label
_atom_site_type_symbol
_atom_site_fract_x
_atom_site_fract_y
_atom_site_fract_z
Cd1 Cd 0.250 0.250 0.129
Pd1 Pd 0.250 0.750 0.500
N1 N 0.250 0.250 0.599
O1 O 0.250 0.750 0.000
# ρ = 7.30 g cm⁻³
# energy = -18.07 eV per formula unit


# ScCdNO, optimized geometry, DFT GGA-PBE
data_ScCdNO
_cell_length_a 3.627
_cell_length_b 6.028
_cell_length_c 5.523
_cell_angle_alpha 90.00
_cell_angle_beta 90.00
_cell_angle_gamma 90.00
_symmetry_space_group_name_H-M 'P m c 21'
_symmetry_Int_Tables_number 26
loop_
_symmetry_equiv_pos_as_xyz
'x,y,z'
'-x,-y,z+1/2'
'-x,y,z'
'x,-y,z+1/2'
loop_
_atom_site_label
_atom_site_type_symbol
_atom_site_fract_x
_atom_site_fract_y
_atom_site_fract_z
Sc1 Sc 0.000 0.173 0.000
Cd1 Cd 0.500 0.310 0.490
N1 N 0.000 0.143 0.371
O1 O 0.500 0.317 0.913
# ρ = 5.15 g cm⁻³
# energy = -26.28 eV per formula unit


Copy entry 2 word for word.
# ScCdNO, optimized geometry, DFT GGA-PBE
data_ScCdNO
_cell_length_a 3.627
_cell_length_b 6.028
_cell_length_c 5.523
_cell_angle_alpha 90.00
_cell_angle_beta 90.00
_cell_angle_gamma 90.00
_symmetry_space_group_name_H-M 'P m c 21'
_symmetry_Int_Tables_number 26
loop_
_symmetry_equiv_pos_as_xyz
'x,y,z'
'-x,-y,z+1/2'
'-x,y,z'
'x,-y,z+1/2'
loop_
_atom_site_label
_atom_site_type_symbol
_atom_site_fract_x
_atom_site_fract_y
_atom_site_fract_z
Sc1 Sc 0.000 0.173 0.000
Cd1 Cd 0.500 0.310 0.490
N1 N 0.000 0.143 0.371
O1 O 0.500 0.317 0.913
# ρ = 5.15 g cm⁻³
# energy = -26.28 eV per formula unit


ρ of number 2 (ScCdNO)?
5.15 g cm⁻³